The following is a meta-GGA SCAN calculation of a crystal of YTaSb2Te relaxed with PBEsol, from the Alexandria database.

a = 5.5423 Å, b = 5.5536 Å, c = 5.5536 Å
α = 90.00°, β = 90.00°, γ = 90.00°
Closest atoms and distances in Å follow each position.
Element x y z (fractional)
Te 0.5000 0.0000 0.0000  2 Y 2.77
Y 0.0000 0.0000 0.0000  2 Te 2.77, 4 Sb 2.78
Sb 0.0000 0.0000 0.5000  2 Y 2.78
Sb 0.0000 0.5000 0.0000  2 Y 2.78
Ta 0.5000 0.5000 0.5000  8 Sb 3.92, 4 Te 3.93

Output
Its electronic total energy is -40.023 eV per atom. The spin magnetization is 2.9 Bohr magnetons per cell. The calculation puts the raw formation energy at 1.216 eV/atom.

The following is a meta-GGA SCAN calculation of a crystal of YTaSbTe2 relaxed with PBEsol, from the Alexandria database.

a = 5.3145 Å, b = 5.3145 Å, c = 5.3499 Å
α = 90.00°, β = 90.00°, γ = 90.00°
Closest atoms and distances in Å follow each position.
Element x y z (fractional)
Y 0.5000 0.5000 0.5000  4 Sb 3.76, 8 Te 3.77
Te 0.0000 0.5000 0.0000  2 Ta 2.66
Te 0.5000 0.0000 0.0000  2 Ta 2.66
Ta 0.0000 0.0000 0.0000  4 Te 2.66, 2 Sb 2.67
Sb 0.0000 0.0000 0.5000  2 Ta 2.67

Output
Its electronic total energy is -41.149 eV per atom. The spin magnetization is 0.0 Bohr magnetons per cell. The calculation puts the raw formation energy at 0.089 eV/atom.

The following is a meta-GGA SCAN calculation of a crystal of TaTlSb2 relaxed with PBEsol, from the Alexandria database.

a = 4.2887 Å, b = 4.2887 Å, c = 5.8280 Å
α = 111.59°, β = 111.59°, γ = 90.00°
Closest atoms and distances in Å follow each position.
Element x y z (fractional)
Sb 0.7500 0.2500 0.5000  4 Tl 3.03, 4 Sb 3.28, 4 Ta 3.28
Sb 0.0000 0.0000 0.0000  4 Ta 3.03, 4 Tl 3.28, 4 Sb 3.28
Tl 0.2500 0.7500 0.5000  8 Sb 3.03-3.28, 4 Ta 3.28
Ta 0.5000 0.5000 0.0000  8 Sb 3.03-3.28, 4 Tl 3.28

Output
Its electronic total energy is -52.681 eV per atom. For the energy above the lowest structure with this stoichiometry, the calculation gives 13.350 kcal/mol of atoms. The spin magnetization is 0.0 Bohr magnetons per cell. The calculation puts the raw formation energy at 0.684 eV/atom.

The following is a meta-GGA SCAN calculation of a crystal of TaTlSb2 relaxed with PBEsol, from the Alexandria database.

a = 5.0681 Å, b = 5.0681 Å, c = 5.0681 Å
α = 60.00°, β = 60.00°, γ = 60.00°
Closest atoms and distances in Å follow each position.
Element x y z (fractional)
Sb 0.0000 0.0000 0.0000  4 Tl 3.10, 4 Sb 3.10
Sb 0.2500 0.2500 0.2500  4 Ta 3.10, 4 Sb 3.10
Ta 0.5000 0.5000 0.5000  4 Tl 3.10, 4 Sb 3.10
Tl 0.7500 0.7500 0.7500  4 Sb 3.10, 4 Ta 3.10

Output
Its electronic total energy is -52.552 eV per atom. For the energy above the lowest structure with this stoichiometry, the calculation gives 16.344 kcal/mol of atoms. The spin magnetization is 1.5 Bohr magnetons per cell. The calculation puts the raw formation energy at 0.814 eV/atom.